# Li2ErScSe4

An optimized crystal structure of Li2ErScSe4 (PBE, Alexandria via LeMat-Bulk).

space group: P2/m (10)
uncorrected formation energy: -1.6407 eV/atom
VASP energy: -41.8 eV per cell

a = 6.8412 Å, b = 3.9556 Å, c = 6.8465 Å
α = 90.00°, β = 109.45°, γ = 90.00°
Closest atoms and distances in Å follow each position.
Fractional coordinates of all 8 atoms:
Li: 0.0000 0.0000 0.0000  6 Se 2.76-2.77
Li: 0.0000 0.5000 0.5000  6 Se 2.84
Er: 0.5000 0.0000 0.5000  6 Se 2.82
Sc: 0.5000 0.5000 0.0000  6 Se 2.74-2.75
Se: 0.2502 0.5000 0.2411  1 Sc 2.74, 3 Li 2.77-2.84, 2 Er 2.82
Se: 0.2556 0.0000 0.7609  2 Sc 2.75, 3 Li 2.76-2.84, 1 Er 2.82
Se: 0.7444 0.0000 0.2391  2 Sc 2.75, 3 Li 2.76-2.84, 1 Er 2.82
Se: 0.7498 0.5000 0.7589  1 Sc 2.74, 3 Li 2.77-2.84, 2 Er 2.82

---

# CuNi2Ru

An optimized crystal structure of CuNi2Ru (PBE, Alexandria via LeMat-Bulk).

space group: R-3m (166)
energy of formation from the pure elements: 0.43 eV per formula unit
VASP energy: -24.5 eV per cell

a = 8.3987 Å, b = 8.3987 Å, c = 8.3987 Å
α = 17.80°, β = 17.80°, γ = 17.80°
Closest atoms and distances in Å follow each position.
Fractional coordinates of all 4 atoms:
Cu: 0.0000 0.0000 0.0000  6 Ni 2.53, 6 Cu 2.60
Ni: 0.2510 0.2510 0.2510  3 Cu 2.53, 3 Ru 2.57, 6 Ni 2.60
Ni: 0.7490 0.7490 0.7490  3 Cu 2.53, 3 Ru 2.57, 6 Ni 2.60
Ru: 0.5000 0.5000 0.5000  6 Ni 2.57, 6 Ru 2.60

---

# PmPb3

An optimized crystal structure of PmPb3 (PBE, Alexandria via LeMat-Bulk).

space group: Pm-3m (221)
energy of formation from the pure elements: -1.44 eV per formula unit
VASP energy: -17.3 eV per cell

a = 4.9178 Å, b = 4.9178 Å, c = 4.9178 Å
α = 90.00°, β = 90.00°, γ = 90.00°
Closest atoms and distances in Å follow each position.
Fractional coordinates of all 4 atoms:
Pm: 0.0000 0.0000 0.0000  12 Pb 3.48
Pb: 0.0000 0.5000 0.5000  8 Pb 3.48, 4 Pm 3.48
Pb: 0.5000 0.0000 0.5000  8 Pb 3.48, 4 Pm 3.48
Pb: 0.5000 0.5000 0.0000  8 Pb 3.48, 4 Pm 3.48

---

# Ba5I3Cl12

An optimized crystal structure of Ba5I3Cl12 (PBE, Alexandria via LeMat-Bulk).

space group: Ia-3d (230)
uncorrected formation energy: -1.5710 eV/atom
VASP energy: -271.4 eV per cell

a = 16.3880 Å, b = 16.3880 Å, c = 16.3880 Å
α = 109.47°, β = 109.47°, γ = 109.47°
Closest atoms and distances in Å follow each position.
Fractional coordinates of all 80 atoms:
Ba: 0.0000 0.0000 0.0000  6 Cl 3.08
Ba: 0.0000 0.0000 0.5000  6 Cl 3.08
Ba: 0.0000 0.5000 0.0000  6 Cl 3.08
Ba: 0.0000 0.5000 0.5000  6 Cl 3.08
Ba: 0.1250 0.7500 0.8750  4 Cl 2.98
Ba: 0.1250 0.8750 0.2500  4 Cl 2.98
Ba: 0.2500 0.1250 0.8750  4 Cl 2.98
Ba: 0.2500 0.6250 0.3750  4 Cl 2.98
Ba: 0.3750 0.2500 0.6250  4 Cl 2.98
Ba: 0.3750 0.6250 0.7500  4 Cl 2.98
Ba: 0.5000 0.0000 0.0000  6 Cl 3.08
Ba: 0.5000 0.0000 0.5000  6 Cl 3.08
Ba: 0.5000 0.5000 0.0000  6 Cl 3.08
Ba: 0.5000 0.5000 0.5000  6 Cl 3.08
Ba: 0.6250 0.3750 0.2500  4 Cl 2.98
Ba: 0.6250 0.7500 0.3750  4 Cl 2.98
Ba: 0.7500 0.3750 0.6250  4 Cl 2.98
Ba: 0.7500 0.8750 0.1250  4 Cl 2.98
Ba: 0.8750 0.1250 0.7500  4 Cl 2.98
Ba: 0.8750 0.2500 0.1250  4 Cl 2.98
I: 0.1250 0.2500 0.3750  4 Cl 3.43
I: 0.1250 0.3750 0.7500  4 Cl 3.43
I: 0.2500 0.3750 0.1250  4 Cl 3.43
I: 0.2500 0.8750 0.6250  4 Cl 3.43
I: 0.3750 0.1250 0.2500  4 Cl 3.43
I: 0.3750 0.7500 0.1250  4 Cl 3.43
I: 0.6250 0.2500 0.8750  4 Cl 3.43
I: 0.6250 0.8750 0.7500  4 Cl 3.43
I: 0.7500 0.1250 0.3750  4 Cl 3.43
I: 0.7500 0.6250 0.8750  4 Cl 3.43
I: 0.8750 0.6250 0.2500  4 Cl 3.43
I: 0.8750 0.7500 0.6250  4 Cl 3.43
Cl: 0.0320 0.2128 0.0968  2 Ba 2.98-3.08
Cl: 0.0320 0.3192 0.9352  2 Ba 2.98-3.08
Cl: 0.0648 0.5968 0.3840  2 Ba 2.98-3.08
Cl: 0.0648 0.9680 0.6808  2 Ba 2.98-3.08
Cl: 0.0968 0.0320 0.2128  2 Ba 2.98-3.08
Cl: 0.0968 0.5648 0.8840  2 Ba 2.98-3.08
Cl: 0.1160 0.7128 0.6808  2 Ba 2.98-3.08
Cl: 0.1160 0.9032 0.4352  2 Ba 2.98-3.08
Cl: 0.1808 0.2128 0.6160  2 Ba 2.98-3.08
Cl: 0.1808 0.4680 0.5648  2 Ba 2.98-3.08
Cl: 0.2128 0.0968 0.0320  2 Ba 2.98-3.08
Cl: 0.2128 0.6160 0.1808  2 Ba 2.98-3.08
Cl: 0.2872 0.3192 0.8840  2 Ba 2.98-3.08
Cl: 0.2872 0.4680 0.4032  2 Ba 2.98-3.08
Cl: 0.3192 0.8840 0.2872  2 Ba 2.98-3.08
Cl: 0.3192 0.9352 0.0320  2 Ba 2.98-3.08
Cl: 0.3840 0.0648 0.5968  2 Ba 2.98-3.08
Cl: 0.3840 0.8192 0.7872  2 Ba 2.98-3.08
Cl: 0.4032 0.2872 0.4680  2 Ba 2.98-3.08
Cl: 0.4032 0.6160 0.9352  2 Ba 2.98-3.08
Cl: 0.4352 0.1160 0.9032  2 Ba 2.98-3.08
Cl: 0.4352 0.8192 0.5320  2 Ba 2.98-3.08
Cl: 0.4680 0.4032 0.2872  2 Ba 2.98-3.08
Cl: 0.4680 0.5648 0.1808  2 Ba 2.98-3.08
Cl: 0.5320 0.4352 0.8192  2 Ba 2.98-3.08
Cl: 0.5320 0.5968 0.7128  2 Ba 2.98-3.08
Cl: 0.5648 0.1808 0.4680  2 Ba 2.98-3.08
Cl: 0.5648 0.8840 0.0968  2 Ba 2.98-3.08
Cl: 0.5968 0.3840 0.0648  2 Ba 2.98-3.08
Cl: 0.5968 0.7128 0.5320  2 Ba 2.98-3.08
Cl: 0.6160 0.1808 0.2128  2 Ba 2.98-3.08
Cl: 0.6160 0.9352 0.4032  2 Ba 2.98-3.08
Cl: 0.6808 0.0648 0.9680  2 Ba 2.98-3.08
Cl: 0.6808 0.1160 0.7128  2 Ba 2.98-3.08
Cl: 0.7128 0.5320 0.5968  2 Ba 2.98-3.08
Cl: 0.7128 0.6808 0.1160  2 Ba 2.98-3.08
Cl: 0.7872 0.3840 0.8192  2 Ba 2.98-3.08
Cl: 0.7872 0.9032 0.9680  2 Ba 2.98-3.08
Cl: 0.8192 0.5320 0.4352  2 Ba 2.98-3.08
Cl: 0.8192 0.7872 0.3840  2 Ba 2.98-3.08
Cl: 0.8840 0.0968 0.5648  2 Ba 2.98-3.08
Cl: 0.8840 0.2872 0.3192  2 Ba 2.98-3.08
Cl: 0.9032 0.4352 0.1160  2 Ba 2.98-3.08
Cl: 0.9032 0.9680 0.7872  2 Ba 2.98-3.08
Cl: 0.9352 0.0320 0.3192  2 Ba 2.98-3.08
Cl: 0.9352 0.4032 0.6160  2 Ba 2.98-3.08
Cl: 0.9680 0.6808 0.0648  2 Ba 2.98-3.08
Cl: 0.9680 0.7872 0.9032  2 Ba 2.98-3.08